(1)
! LiHo2PaSe4 (PBE-GGA, optimized geometry); values from VASP
&SYSTEM
  ibrav = 0, nat = 8, ntyp = 4
/
ATOMIC_SPECIES
Li 6.94 Li.upf
Ho 164.93 Ho.upf
Pa 231.04 Pa.upf
Se 78.96 Se.upf
CELL_PARAMETERS angstrom
3.995 0.000 0.000
0.000 6.950 -0.150
0.000 2.437 6.656
ATOMIC_POSITIONS angstrom
Li 0.000 4.694 3.253
Ho 0.000 2.437 6.656
Ho 1.997 1.218 3.328
Pa 1.998 5.912 6.581
Se 0.000 7.002 4.814
Se 3.995 2.385 1.692
Se 1.998 5.802 1.606
Se 1.997 3.585 4.900
! ΔE_f (raw): -12.39 eV/f.u.
! ρ: 7.88 g/cm³

=====

(2)
! PrHoNp2S4 (PBE-GGA, optimized geometry); values from VASP
&SYSTEM
  ibrav = 0, nat = 8, ntyp = 4
/
ATOMIC_SPECIES
Pr 140.91 Pr.upf
Ho 164.93 Ho.upf
Np 237.00 Np.upf
S 32.06 S.upf
CELL_PARAMETERS angstrom
3.959 0.000 0.000
0.000 6.901 0.127
0.000 -2.402 6.369
ATOMIC_POSITIONS angstrom
Pr 0.000 0.000 0.000
Ho 1.979 3.451 0.063
Np 1.979 -1.201 3.184
Np 0.000 2.250 3.248
S 1.979 1.193 1.685
S 1.979 3.307 4.811
S 0.000 -0.026 4.794
S 0.000 4.525 1.702
! ΔE_f (raw): -13.27 eV/f.u.
! ρ: 8.61 g/cm³

=====

(3)
! NiBSbTe2 (PBE-GGA, optimized geometry); values from VASP
&SYSTEM
  ibrav = 0, nat = 5, ntyp = 4
/
ATOMIC_SPECIES
Sb 121.76 Sb.upf
B 10.81 B.upf
Te 127.60 Te.upf
Ni 58.69 Ni.upf
CELL_PARAMETERS angstrom
-1.776 -1.660 -4.135
4.130 -2.285 -0.857
-1.640 -3.799 2.229
ATOMIC_POSITIONS angstrom
Sb -0.820 -1.900 1.115
B 0.000 0.000 0.000
Te 2.065 -1.142 -0.428
Te -0.888 -0.830 -2.068
Ni 0.357 -3.872 -1.381
! ΔE_f (raw): 4.97 eV/f.u.
! ρ: 6.85 g/cm³
! distance to the lowest polymorph of the same formula: 0.0 meV/atom

=====

(4)
! La6IrRuAu2 (PBE-GGA, optimized geometry); values from VASP
&SYSTEM
  ibrav = 0, nat = 20, ntyp = 4
/
ATOMIC_SPECIES
La 138.91 La.upf
Ir 192.22 Ir.upf
Ru 101.07 Ru.upf
Au 196.97 Au.upf
CELL_PARAMETERS angstrom
7.137 0.000 -0.010
0.000 7.932 0.000
0.048 0.000 10.841
ATOMIC_POSITIONS angstrom
La 2.286 5.415 0.722
La 5.879 6.483 6.137
La 4.899 2.517 10.109
La 1.306 1.449 4.694
La 2.342 5.446 4.689
La 5.934 6.452 10.105
La 4.844 2.486 6.142
La 1.251 1.480 0.726
La 6.163 4.249 2.680
La 2.619 7.649 8.106
La 1.022 3.683 8.151
La 4.566 0.283 2.725
Ir 3.569 0.000 -0.005
Ir 0.024 3.966 5.421
Ru 3.593 0.000 5.416
Ru 0.000 3.966 0.000
Au 0.370 7.084 2.717
Au 3.962 4.814 8.132
Au 6.815 0.848 8.114
Au 3.223 3.118 2.699
! ρ: 8.23 g/cm³
! energy of formation: -0.60 eV/atom

=====

(5)
! SrHfCr3 (PBE-GGA, optimized geometry); values from VASP
&SYSTEM
  ibrav = 0, nat = 5, ntyp = 3
/
ATOMIC_SPECIES
Sr 87.62 Sr.upf
Hf 178.49 Hf.upf
Cr 52.00 Cr.upf
CELL_PARAMETERS angstrom
5.029 0.000 0.000
0.000 5.029 0.000
0.000 0.000 5.029
ATOMIC_POSITIONS angstrom
Sr 2.515 2.515 2.515
Hf 0.000 0.000 0.000
Cr 0.000 2.515 0.000
Cr 0.000 0.000 2.515
Cr 2.515 0.000 0.000
! ρ: 5.51 g/cm³
! distance to the lowest polymorph of the same formula: 0.0 meV/atom
! energy of formation: 1.24 eV/atom

=====

(6)
! RbPuAu (PBE-GGA, optimized geometry); values from VASP
&SYSTEM
  ibrav = 0, nat = 6, ntyp = 3
/
ATOMIC_SPECIES
Au 196.97 Au.upf
Rb 85.47 Rb.upf
Pu 244.00 Pu.upf
CELL_PARAMETERS angstrom
3.970 0.000 0.000
-1.985 8.908 -0.275
0.000 -2.073 5.991
ATOMIC_POSITIONS angstrom
Au 0.000 1.678 0.581
Au 1.985 5.158 5.136
Rb 0.000 2.232 4.126
Rb 1.985 4.603 1.591
Pu 0.000 8.394 1.209
Pu 1.985 -1.559 4.508
! ρ: 8.34 g/cm³
! energy of formation: 0.01 eV/atom

=====

(7)
! YVI2N (PBE-GGA, optimized geometry); values from VASP
&SYSTEM
  ibrav = 0, nat = 5, ntyp = 4
/
ATOMIC_SPECIES
I 126.90 I.upf
Y 88.91 Y.upf
N 14.01 N.upf
V 50.94 V.upf
CELL_PARAMETERS angstrom
6.136 0.000 0.000
0.000 6.136 0.000
0.000 0.000 4.086
ATOMIC_POSITIONS angstrom
I 0.000 3.068 0.000
I 3.068 0.000 0.000
Y 0.000 0.000 0.000
N 0.000 0.000 2.043
V 3.068 3.068 2.043
! ΔE_f (raw): 1.43 eV/f.u.
! ρ: 4.40 g/cm³
! distance to the lowest polymorph of the same formula: 512.9 meV/atom

=====

(8)
! V4NiRh5 (PBE-GGA, optimized geometry); values from VASP
&SYSTEM
  ibrav = 0, nat = 10, ntyp = 3
/
ATOMIC_SPECIES
V 50.94 V.upf
Ni 58.69 Ni.upf
Rh 102.91 Rh.upf
CELL_PARAMETERS angstrom
-1.983 0.459 1.971
-0.007 -7.284 1.688
5.713 -0.185 3.755
ATOMIC_POSITIONS angstrom
V 0.749 -0.313 2.863
V 0.430 -1.686 0.825
V 2.974 -6.697 4.551
V 3.293 -5.324 6.589
Ni -0.992 0.229 0.985
Rh 1.800 -2.817 2.467
Rh 1.360 -5.739 2.704
Rh 2.363 -1.271 4.710
Rh -0.995 -3.412 1.829
Rh 1.923 -4.193 4.947
! ρ: 9.21 g/cm³
! energy of formation: -0.04 eV/atom